Entry 1:
Computed, not measured: crystalline LiNd2Be3Cu12 at its relaxed geometry at the GGA-PBE level of DFT.

```
LiNd2Be3Cu12
1.0
-3.3990 -5.2993 -2.7917
2.9939 -5.8553 2.0449
-3.9277 -2.8979 4.8584
Be Cu Nd Li
3 12 2 1
direct
0.5000 0.0000 0.0000
0.0000 0.0000 0.5000
0.0000 0.5000 0.0000
0.2902 0.2902 0.8535
0.6495 0.1259 0.1259
0.7098 0.7098 0.1465
0.1259 0.1259 0.6495
0.3505 0.8741 0.8741
0.8741 0.8741 0.3505
0.8535 0.2902 0.2902
0.7098 0.1465 0.7098
0.2902 0.8535 0.2902
0.8741 0.3505 0.8741
0.1465 0.7098 0.7098
0.1259 0.6495 0.1259
0.6159 0.6159 0.6159
0.3841 0.3841 0.3841
0.0000 0.0000 0.0000
```

formation energy = 0.28 eV per atom
calculated total energy = -3.706 eV per atom

***

Entry 2:
Computed, not measured: crystalline Tb4CoRh at its relaxed geometry at the GGA-PBE level of DFT.

```
Tb4CoRh
1.0
7.6022 -0.0985 0.0000
-3.1600 6.9150 0.0000
-2.2211 -3.4082 6.4229
Rh Tb Co
2 8 2
direct
0.2482 0.2482 0.0000
0.9982 0.4982 0.5000
0.7429 0.0397 0.2968
0.7429 0.4460 0.7032
0.2573 0.5597 0.3024
0.3097 0.5073 0.8024
0.1960 0.9929 0.2032
0.7897 0.9929 0.7968
0.7049 0.5073 0.1976
0.2573 0.9549 0.6976
0.5015 0.0015 0.5000
0.7515 0.7515 0.0000
```

formation energy = -0.31 eV per atom
energy above the lowest structure with this stoichiometry = 65 meV per atom
calculated total energy = -5.810 eV per atom

***

Entry 3:
Computed, not measured: crystalline Cs2RbU3Te8 at its relaxed geometry at the GGA-PBE level of DFT.

```
Cs2RbU3Te8
1.0
-1.8891 -6.7627 5.8838
-1.5317 -8.4806 -3.1075
7.8414 -6.9661 1.6426
Cs U Te Rb
2 3 8 1
direct
0.4991 0.4991 0.5026
0.1395 0.1395 0.5815
0.4999 0.4999 0.0023
0.4999 0.9980 0.0023
0.9980 0.4999 0.0023
0.2989 0.7612 0.1787
0.7272 0.7272 0.8183
0.2377 0.6964 0.8282
0.7612 0.2989 0.1787
0.2737 0.2737 0.1789
0.7612 0.7612 0.1787
0.6964 0.2377 0.8282
0.2377 0.2377 0.8282
0.8623 0.8623 0.4130
```

calculated total energy = -5.168 eV per atom

***

Entry 4:
Computed, not measured: crystalline MgRhF at its relaxed geometry at the GGA-PBE level of DFT.

```
MgRhF
1.0
-2.6757 2.7438 -0.9943
0.5673 -0.9235 3.8081
4.7101 4.7569 0.4519
F Mg Rh
2 2 2
direct
0.6667 0.3333 0.7500
0.3333 0.6667 0.2500
0.0000 0.0000 0.5000
0.0000 0.0000 0.0000
0.3333 0.6667 0.7500
0.6667 0.3333 0.2500
```

energy above the lowest structure with this stoichiometry = 1299 meV per atom
calculated total energy = -3.976 eV per atom

***

Entry 5:
Computed, not measured: crystalline PmSmTlSb at its relaxed geometry at the GGA-PBE level of DFT.

```
PmSmTlSb
1.0
-3.9833 1.2331 3.5374
0.8696 -0.4897 5.3763
0.4039 4.4706 3.1227
Sb Tl Sm Pm
1 1 1 1
direct
0.7500 0.7500 0.7500
0.2500 0.2500 0.2500
0.0000 0.0000 0.0000
0.5000 0.5000 0.5000
```

calculated total energy = -4.546 eV per atom

***

Entry 6:
Computed, not measured: crystalline Th2Cd2Hg at its relaxed geometry at the GGA-PBE level of DFT.

```
Th2Cd2Hg
1.0
3.3575 0.0000 0.0000
0.0000 4.9253 -0.0912
0.0000 -2.3148 8.0393
Th Cd Hg
2 2 1
direct
0.5000 0.3893 0.7790
0.5000 0.6107 0.2210
0.0000 0.2021 0.4040
0.0000 0.7979 0.5960
0.0000 0.0000 0.0000
```

formation energy = -0.16 eV per atom
energy above the lowest structure with this stoichiometry = 0 meV per atom
calculated total energy = -3.551 eV per atom

***

Entry 7:
Computed, not measured: crystalline Cs2NiP2S6 at its relaxed geometry at the GGA-PBE level of DFT.

```
Cs2NiP2S6
1.0
-10.3670 -6.9219 -3.8401
-0.9988 -1.6391 5.6508
-5.5152 4.8940 6.0676
S P Ni Cs
12 4 2 4
direct
0.5668 0.0330 0.7296
0.0719 0.5367 0.2276
0.9281 0.4633 0.7724
0.4281 0.5367 0.7276
0.9332 0.0330 0.2296
0.8467 0.7961 0.9601
0.1533 0.2039 0.0399
0.0668 0.9670 0.7704
0.3467 0.2039 0.5399
0.6533 0.7961 0.4601
0.5719 0.4633 0.2724
0.4332 0.9670 0.2704
0.5375 0.6625 0.3819
0.9625 0.6625 0.8819
0.0375 0.3375 0.1181
0.4625 0.3375 0.6181
0.5000 0.0000 0.5000
0.0000 0.0000 0.0000
0.8279 0.2995 0.4676
0.3279 0.7005 0.0324
0.1721 0.7005 0.5324
0.6721 0.2995 0.9676
```

energy above the lowest structure with this stoichiometry = 0 meV per atom
calculated total energy = -4.575 eV per atom

***

Entry 8:
Computed, not measured: crystalline PbI at its relaxed geometry at the GGA-PBE level of DFT.

```
PbI
1.0
5.1016 -0.0008 -0.0020
1.8780 5.6106 -0.0027
2.0506 -0.6080 6.2282
Pb I
2 2
direct
0.2529 0.8045 0.6001
0.0375 0.3813 0.8052
0.9339 0.5438 0.3310
0.5356 0.9509 0.9346
```

calculated total energy = -2.883 eV per atom

***

Entry 9:
Computed, not measured: crystalline Sr2La2Te at its relaxed geometry at the GGA-PBE level of DFT.

```
Sr2La2Te
1.0
-0.6299 -8.1843 1.0233
7.8534 -0.9088 -2.4339
1.9332 0.6030 6.0126
La Sr Te
4 4 2
direct
0.3587 0.8587 0.0000
0.6413 0.1413 0.0000
0.1413 0.3587 0.0000
0.8587 0.6413 0.0000
0.8352 0.3352 0.5000
0.3352 0.1648 0.5000
0.6648 0.8352 0.5000
0.1648 0.6648 0.5000
0.0000 0.0000 0.0000
0.5000 0.5000 0.0000
```

calculated total energy = -3.634 eV per atom

***

Entry 10:
Computed, not measured: crystalline KNb3C at its relaxed geometry at the GGA-PBE level of DFT.

```
KNb3C
1.0
-0.2227 1.7896 -4.1310
-3.5508 -2.6125 -0.9403
-2.7676 3.2078 1.5388
Nb K C
3 1 1
direct
0.0000 0.0000 0.5000
0.5000 0.0000 0.0000
0.0000 0.5000 0.0000
0.5000 0.5000 0.5000
0.0000 0.0000 0.0000
```

formation energy = 0.87 eV per atom
energy above the lowest structure with this stoichiometry = 0 meV per atom
calculated total energy = -7.233 eV per atom

***

Entry 11:
Computed, not measured: crystalline ScCrCu2 at its relaxed geometry at the GGA-PBE level of DFT.

```
ScCrCu2
1.0
3.1312 0.0000 0.0000
0.0000 3.2582 0.0060
0.0000 3.2470 6.0090
Sc Cu Cr
1 2 1
direct
0.5000 0.2500 0.2500
0.0000 0.0221 0.9776
0.0000 0.4779 0.5224
0.5000 0.7500 0.7500
```

formation energy = 0.08 eV per atom
energy above the lowest structure with this stoichiometry = 39 meV per atom
calculated total energy = -5.955 eV per atom

***

Entry 12:
Computed, not measured: crystalline Li4MgI6 at its relaxed geometry at the GGA-PBE level of DFT.

```
Li4MgI6
1.0
-2.5764 1.0823 7.9703
-8.0935 -0.0495 1.8656
-3.2472 -13.2505 5.2247
Li I Mg
8 12 2
direct
0.7744 0.1827 0.4572
0.8957 0.6913 0.6526
0.5857 0.6827 0.9572
0.2797 0.9935 0.6561
0.7604 0.1913 0.1526
0.0707 0.4935 0.1561
0.6990 0.2373 0.8041
0.2595 0.7373 0.3041
0.9195 0.0314 0.6440
0.4754 0.0926 0.4732
0.7454 0.8439 0.1990
0.9587 0.5926 0.9732
0.9124 0.1187 0.9554
0.5001 0.5648 0.4514
0.0135 0.6187 0.4554
0.4836 0.0648 0.9514
0.2116 0.3439 0.6990
0.0082 0.1556 0.2660
0.4050 0.5314 0.1440
0.5703 0.6556 0.7660
0.6831 0.7744 0.3951
0.1475 0.2744 0.8951
```

calculated total energy = -2.797 eV per atom

***

Among the records above, which one has the lowest calculated total energy? KNb3C

***

What is the formula in the sixth record? Th2Cd2Hg

***

Which value of calculated total energy does entry 10 give? -7.233 eV per atom